Entry 1:
ReOsRh | GGA-PBE | optimized geometry

Energy relative to the elements = 0.007 eV per atom
Volume = 14.47 Å³ per atom
SG = No. 44
Energy relative to the lowest polymorph listed for this composition = 18 meV/atom

Cell and atoms, written as extended XYZ:
```
3
Lattice="-1.3567 1.9510 4.1009 1.3567 -1.9510 4.1009 1.3567 1.9510 -4.1009" Properties=species:S:1:pos:R:3 pbc="T T T"
Re 0.0000 0.0000 0.0000
Os 0.0000 0.0000 5.4101
Rh 0.0000 0.0000 2.7017
```

***

Entry 2:
SnGe2Ir | GGA-PBE | optimized geometry

Energy relative to the elements = 0.173 eV per atom
Volume = 25.66 Å³ per atom
SG = No. 122

Cell and atoms, written as extended XYZ:
```
8
Lattice="-2.9477 2.9477 5.9070 2.9477 -2.9477 5.9070 2.9477 2.9477 -5.9070" Properties=species:S:1:pos:R:3 pbc="T T T"
Sn 0.0000 0.0000 0.0000
Sn 0.0000 2.9477 2.9535
Ge 1.4739 -1.1618 4.4303
Ge 1.7859 1.4739 1.4768
Ge 1.4739 4.1095 -1.4768
Ge 1.1618 1.4739 7.3838
Ir 2.9477 0.0000 2.9535
Ir 0.0000 0.0000 5.9070
```

***

Entry 3:
Mg3Zr | GGA-PBE | optimized geometry

Energy relative to the elements = 0.037 eV per atom
Volume = 21.93 Å³ per atom
SG = No. 194

Cell and atoms, written as extended XYZ:
```
8
Lattice="6.3499 0.0000 0.0000 -3.1750 5.4992 0.0000 0.0000 0.0000 5.0248" Properties=species:S:1:pos:R:3 pbc="T T T"
Mg 0.0000 1.8404 1.2562
Mg -1.5811 4.5790 1.2562
Mg 1.5938 0.9202 3.7686
Mg 1.5811 4.5790 1.2562
Mg 4.7561 0.9202 3.7686
Mg 3.1750 3.6588 3.7686
Zr 0.0000 3.6661 3.7686
Zr 3.1750 1.8331 1.2562
```

***

Entry 4:
PbSeN2F | GGA-PBE | optimized geometry

Volume = 18.35 Å³ per atom
SG = No. 123
E_form (uncorrected) = 7.868 eV per formula unit
Energy relative to the lowest polymorph listed for this composition = 360 meV/atom

Cell and atoms, written as extended XYZ:
```
5
Lattice="4.7722 0.0000 0.0000 0.0000 4.7722 0.0000 0.0000 0.0000 4.0295" Properties=species:S:1:pos:R:3 pbc="T T T"
Pb 0.0000 0.0000 0.0000
Se 2.3861 2.3861 0.0000
N 0.0000 2.3861 2.0147
N 2.3861 0.0000 2.0147
F 2.3861 2.3861 2.0147
```

***

Entry 5:
Ho5AgPt4 | GGA-PBE | optimized geometry

Energy relative to the elements = -1.065 eV per atom
Volume = 21.56 Å³ per atom
SG = No. 123

Cell and atoms, written as extended XYZ:
```
10
Lattice="3.5074 0.0000 0.0000 0.0000 3.5074 0.0000 0.0000 0.0000 17.5225" Properties=species:S:1:pos:R:3 pbc="T T T"
Ho 0.0000 0.0000 0.0000
Ho 0.0000 0.0000 3.4313
Ho 0.0000 0.0000 6.8498
Ho 0.0000 0.0000 10.6728
Ho 0.0000 0.0000 14.0912
Ag 1.7537 1.7537 8.7613
Pt 1.7537 1.7537 1.7266
Pt 1.7537 1.7537 5.2027
Pt 1.7537 1.7537 12.3199
Pt 1.7537 1.7537 15.7960
```